No. 1
InSbOF2 SCAN PBEsol geometry; formation energy from raw total energies = -142.4 kJ/mol of atoms; symmetry = P4/mmm; crystal system = tetragonal; magnetic moment = 0.0000 μB/atom
1.0
4.5469 0.0000 0.0000
0.0000 4.5469 0.0000
0.0000 0.0000 4.2413
In Sb O F
1 1 1 2
Cartesian
0.0000 0.0000 0.0000 In
2.2735 2.2735 2.1207 Sb
2.2735 2.2735 0.0000 O
0.0000 2.2735 2.1207 F
2.2735 0.0000 2.1207 F


No. 2
InSnO2F SCAN PBEsol geometry; formation energy from raw total energies = -141.8 kJ/mol of atoms; symmetry = P4/mmm; crystal system = tetragonal; magnetic moment = 0.0000 μB/atom
1.0
4.0492 0.0000 0.0000
0.0000 4.0492 0.0000
0.0000 0.0000 4.3520
In Sn O F
1 1 2 1
Cartesian
0.0000 0.0000 0.0000 In
2.0246 2.0246 2.1760 Sn
0.0000 2.0246 2.1760 O
2.0246 0.0000 2.1760 O
2.0246 2.0246 0.0000 F


No. 3
TaInO2F SCAN PBEsol geometry; formation energy from raw total energies = -201.8 kJ/mol of atoms; symmetry = P4/mmm; crystal system = tetragonal; magnetic moment = 0.0005 μB/atom
1.0
4.0093 0.0000 0.0000
0.0000 4.0093 0.0000
0.0000 0.0000 4.2669
Ta In O F
1 1 2 1
Cartesian
0.0000 0.0000 0.0000 Ta
2.0046 2.0046 2.1334 In
0.0000 2.0046 0.0000 O
2.0046 0.0000 0.0000 O
0.0000 0.0000 2.1334 F


No. 4
TaInO2F SCAN PBEsol geometry; formation energy from raw total energies = -55.2 kJ/mol of atoms; symmetry = P4/mmm; crystal system = tetragonal; magnetic moment = 0.5807 μB/atom
1.0
4.1622 0.0000 0.0000
0.0000 4.1622 0.0000
0.0000 0.0000 4.0279
Ta In O F
1 1 2 1
Cartesian
0.0000 0.0000 0.0000 Ta
2.0811 2.0811 2.0140 In
0.0000 2.0811 2.0140 O
2.0811 0.0000 2.0140 O
2.0811 2.0811 0.0000 F


Calculated total energy for every record listed, in sequence, given in eV per atom: -18.2678, -18.5321, -25.2862, -23.7662.